Entry from OQMD: crystalline NaHoHgTe3 at its relaxed geometry (GGA-PBE).

a b c (Å): 14.811 4.401 11.934
angles (deg): 90.00 90.00 90.00
Space group Pnma (No. 62)
One atom of each set of equivalent atoms:
Na: 0.230 0.250 0.077 x4
Ho: 0.014 0.250 0.343 x4
Hg: 0.011 0.750 0.102 x4
Te: 0.111 0.250 0.568 x4
Te: 0.115 0.750 0.877 x4
Te: 0.149 0.750 0.263 x4

Computed properties:
For the energy above the most stable polymorph in this dataset, the calculation gives 0.1 kJ per mole of atoms.

=====

Entry from OQMD: crystalline Na4CdGa2Ag at its relaxed geometry (GGA-PBE).

a b c (Å): 4.970 4.970 7.050
angles (deg): 90.00 90.00 90.00
Space group P-4m2 (No. 115)
One atom of each set of equivalent atoms:
Na: 0.000 0.000 0.000 x1
Na: 0.000 0.500 0.742 x2
Na: 0.500 0.500 0.500 x1
Cd: 0.500 0.500 0.000 x1
Ga: 0.000 0.500 0.259 x2
Ag: 0.000 0.000 0.500 x1

=====

Number 1: E -3.4566 eV/atom. Number 2: E -1.9327 eV/atom.